1.
This record from the Alexandria database describes Tl5Cd4Hg after structural relaxation. The functional is PBE.

The space group is C2/m (No. 12) and the conventional cell measures 17.301, 3.436 and 9.576 Å, with angles of 90.00, 99.69 and 90.00 degrees. The inequivalent atoms are Tl at (0.000, 0.000, 0.000), Tl at (0.142, 0.500, 0.724), Tl at (0.189, 0.500, 0.098), Cd at (0.050, 0.500, 0.277), Cd at (0.185, 0.000, 0.427) and Hg at (0.000, 0.000, 0.500).

The calculation puts the energy of formation from the pure elements at 39 meV/atom. The total energy is -1.541 eV per atom. The value obtained for the calculated volume is 561 Å³/cell.

=====

2.
This record from the Alexandria database describes Tl2CdHg after structural relaxation. The functional is PBE.

The space group is Pmm2 (No. 25) and the conventional cell measures 3.484, 4.726 and 6.825 Å, with angles of 90.00, 90.00 and 90.00 degrees. The inequivalent atoms are Tl at (0.000, 0.000, 0.000), Tl at (0.500, 0.500, 0.272), Cd at (0.000, 0.000, 0.520) and Hg at (0.500, 0.500, 0.747).

Its energy above the most stable polymorph in this dataset is 15 meV/atom. The calculation puts the energy of formation from the pure elements at 27 meV/atom. The total energy is -1.460 eV per atom. The value obtained for the calculated volume is 112 Å³/cell.